First-principles (GGA+U) data for an optimized crystal structure of CsRb2MoF6, as listed in the Alexandria database.

a b c (Å): 9.767 9.767 9.767
angles (deg): 90.00 90.00 90.00
Space group Fm-3m (No. 225)
One atom of each set of equivalent atoms:
Cs 0.000 0.000 0.000 [4 per cell]
Rb 0.250 0.250 0.250 [8 per cell]
Mo 0.000 0.000 0.500 [4 per cell]
F 0.000 0.000 0.285 [24 per cell]

The calculation puts the spin magnetization at 3.00 μB/f.u. As for the excess energy over the best structure of this formula in the dataset: 0.59 eV/f.u.